A.
Sc2FeC2 (PBE-GGA, optimized geometry); V = 118 Å³ per cell; N(E_F) = 0.475 states/eV per atom; crystal system = monoclinic; space-group type = C2/m, No. 12
1.0
5.0801 -1.6320 0.0000
5.0801 1.6320 0.0000
-3.8155 0.0000 7.0870
Sc Fe C
4 2 4
direct
0.0142 0.0142 0.1808 Sc
0.1675 0.1675 0.5985 Sc
0.8325 0.8325 0.4015 Sc
0.9858 0.9858 0.8192 Sc
0.2736 0.2736 0.1244 Fe
0.7264 0.7264 0.8756 Fe
0.3391 0.3391 0.9238 C
0.4908 0.4908 0.3962 C
0.5092 0.5092 0.6038 C
0.6609 0.6609 0.0762 C



B.
Sc2FeC2 (PBE-GGA, optimized geometry); V = 109 Å³ per cell; N(E_F) = 0.256 states/eV per atom; crystal system = tetragonal; space-group type = P4/mbm, No. 127
1.0
5.6631 0.0000 0.0000
0.0000 5.6631 0.0000
0.0000 0.0000 3.3961
Sc Fe C
4 2 4
direct
0.1841 0.3159 0.0000 Sc
0.3159 0.8159 0.0000 Sc
0.6841 0.1841 0.0000 Sc
0.8159 0.6841 0.0000 Sc
0.0000 0.0000 0.5000 Fe
0.5000 0.5000 0.5000 Fe
0.0999 0.5999 0.5000 C
0.4001 0.0999 0.5000 C
0.5999 0.9001 0.5000 C
0.9001 0.4001 0.5000 C



Stability summary: most stable B, least stable A.



A.
ScFeC (PBE-GGA, optimized geometry); V = 74 Å³ per cell; N(E_F) = 0.614 states/eV per atom; crystal system = orthorhombic; space-group type = Cmmm, No. 65
1.0
3.0291 -3.9818 0.0000
3.0291 3.9818 0.0000
0.0000 0.0000 3.0814
Sc Fe C
2 2 2
direct
0.2042 0.7958 0.0000 Sc
0.7958 0.2042 0.0000 Sc
0.3056 0.3056 0.5000 Fe
0.6944 0.6944 0.5000 Fe
0.0000 0.0000 0.5000 C
0.5000 0.5000 0.0000 C



B.
ScFeC (PBE-GGA, optimized geometry); V = 36 Å³ per cell; N(E_F) = 0.859 states/eV per atom; crystal system = hexagonal; space-group type = P-6m2, No. 187
1.0
3.3218 0.0000 0.0000
-1.6609 2.8768 0.0000
0.0000 0.0000 3.7440
Sc Fe C
1 1 1
direct
0.0000 0.0000 0.0000 Sc
0.6667 0.3333 0.5000 Fe
0.3333 0.6667 0.5000 C



C.
ScFeC (PBE-GGA, optimized geometry); V = 69 Å³ per cell; N(E_F) = 0.725 states/eV per atom; crystal system = monoclinic; space-group type = C2/m, No. 12
1.0
4.4319 -1.5585 0.0000
4.4319 1.5585 0.0000
-3.1867 0.0000 4.9889
Sc Fe C
2 2 2
direct
0.0725 0.0725 0.3412 Sc
0.9275 0.9275 0.6588 Sc
0.3146 0.3146 0.9173 Fe
0.6854 0.6854 0.0827 Fe
0.3158 0.3158 0.2666 C
0.6842 0.6842 0.7334 C



D.
ScFeC (PBE-GGA, optimized geometry); V = 86 Å³ per cell; N(E_F) = 1.069 states/eV per atom; crystal system = orthorhombic; space-group type = Pmmn, No. 59
1.0
3.1478 0.0000 0.0000
0.0000 3.6485 0.0000
0.0000 0.0000 7.5095
Sc Fe C
2 2 2
direct
0.2500 0.2500 0.1769 Sc
0.7500 0.7500 0.8231 Sc
0.2500 0.2500 0.5362 Fe
0.7500 0.7500 0.4638 Fe
0.2500 0.7500 0.6146 C
0.7500 0.2500 0.3854 C



Stability summary: most stable A, least stable B.



A.
ScFeC3 (PBE-GGA, optimized geometry); V = 68 Å³ per cell; N(E_F) = 1.881 states/eV per atom; crystal system = cubic; space-group type = Pm-3m, No. 221
1.0
4.0875 0.0000 0.0000
0.0000 4.0875 0.0000
0.0000 0.0000 4.0875
Sc Fe C
1 1 3
direct
0.0000 0.0000 0.0000 Sc
0.5000 0.5000 0.5000 Fe
0.0000 0.0000 0.5000 C
0.0000 0.5000 0.0000 C
0.5000 0.0000 0.0000 C



B.
ScFeC3 (PBE-GGA, optimized geometry); V = 52 Å³ per cell; N(E_F) = 0.929 states/eV per atom; crystal system = cubic; space-group type = Pm-3m, No. 221
1.0
3.7384 0.0000 0.0000
0.0000 3.7384 0.0000
0.0000 0.0000 3.7384
Sc Fe C
1 1 3
direct
0.0000 0.0000 0.0000 Sc
0.5000 0.5000 0.5000 Fe
0.0000 0.5000 0.5000 C
0.5000 0.0000 0.5000 C
0.5000 0.5000 0.0000 C



Stability summary: most stable B, least stable A.



A.
ScFe2SiC (PBE-GGA, optimized geometry); V = 69 Å³ per cell; N(E_F) = 1.751 states/eV per atom; crystal system = tetragonal; space-group type = P4/mmm, No. 123
1.0
4.3325 0.0000 0.0000
0.0000 4.3325 0.0000
0.0000 0.0000 3.6552
Sc Fe Si C
1 2 1 1
direct
0.0000 0.0000 0.0000 Sc
0.0000 0.5000 0.5000 Fe
0.5000 0.0000 0.5000 Fe
0.5000 0.5000 0.5000 Si
0.5000 0.5000 0.0000 C



B.
ScFe2SiC (PBE-GGA, optimized geometry); V = 122 Å³ per cell; N(E_F) = 0.959 states/eV per atom; crystal system = orthorhombic; space-group type = Cmcm, No. 63
1.0
1.7881 -5.1571 0.0000
1.7881 5.1571 0.0000
0.0000 0.0000 6.6337
Sc Fe Si C
2 4 2 2
direct
0.0452 0.9548 0.7500 Sc
0.9548 0.0452 0.2500 Sc
0.3351 0.6649 0.5607 Fe
0.3351 0.6649 0.9393 Fe
0.6649 0.3351 0.0607 Fe
0.6649 0.3351 0.4393 Fe
0.2341 0.7659 0.2500 Si
0.7659 0.2341 0.7500 Si
0.5000 0.5000 0.0000 C
0.5000 0.5000 0.5000 C



Stability summary: most stable B, least stable A.